Record 1
The following is a DFT calculation (GGA-PBE) of a relaxed Pu2Mn3Ir crystal.

Computed properties:
Space-group type = R-3m (166)
E_form = -0.207 eV/atom
Raw total energy = -11.0459 eV per atom
Calculated volume = 101.4 Å³/cell

Structure (POSCAR):
```
Pu2Mn3Ir
1.0
-4.564 0.620 -2.695
4.508 -1.164 -2.609
0.749 -4.039 3.086
Ir Pu Mn
1 2 3
direct
0.000 0.000 0.000 Ir
0.748 0.374 0.123 Pu
0.252 0.626 0.877 Pu
0.000 0.000 0.500 Mn
0.500 0.000 0.500 Mn
0.500 0.500 0.500 Mn
```

---

Record 2
The following is a DFT calculation (GGA-PBE) of a relaxed ErTm2Zn crystal.

Computed properties:
Space-group type = R-3m (166)
E_form = -0.065 eV/atom
Raw total energy = -3.7599 eV per atom
Energy above the most stable polymorph in this dataset = 98.9 meV/atom
Calculated volume = 108.3 Å³/cell

Structure (POSCAR):
```
ErTm2Zn
1.0
-1.058 3.148 1.117
-1.557 2.215 -2.224
-9.947 -2.130 2.082
Tm Zn Er
2 1 1
direct
0.260 0.260 0.219 Tm
0.740 0.740 0.781 Tm
0.000 0.000 0.000 Zn
0.500 0.500 0.500 Er
```

---

Record 3
The following is a DFT calculation (GGA-PBE) of a relaxed GeSbS2 crystal.

Computed properties:
Space-group type = I-42d (122)
Raw total energy = -4.1065 eV per atom
Energy above the most stable polymorph in this dataset = 221.2 meV/atom
Raw formation energy = 0.1421 eV per atom
Calculated volume = 206.5 Å³/cell

Structure (POSCAR):
```
GeSbS2
1.0
5.164 0.000 0.000
0.000 5.164 0.000
2.582 2.582 7.743
Sb S Ge
2 4 2
direct
0.750 0.250 0.500 Sb
0.000 0.000 0.000 Sb
0.875 0.862 0.750 S
0.612 0.125 0.250 S
0.375 0.388 0.750 S
0.138 0.625 0.250 S
0.250 0.750 0.500 Ge
0.500 0.500 0.000 Ge
```

---

Record 4
The following is a DFT calculation (GGA-PBE) of a relaxed NbCo2TcB crystal.

Computed properties:
Space-group type = P4/mmm (123)
E_form = -0.186 eV/atom
Raw total energy = -8.4514 eV per atom
Calculated volume = 61.0 Å³/cell

Structure (POSCAR):
```
NbCo2TcB
1.0
-1.491 -3.320 -1.252
3.367 -0.895 -1.635
1.198 -1.849 3.479
Nb Co Tc B
1 2 1 1
direct
0.500 0.500 0.500 Nb
0.000 0.500 0.000 Co
0.500 0.000 0.000 Co
0.000 0.000 0.500 Tc
0.000 0.000 0.000 B
```

---

Record 5
The following is a DFT calculation (GGA-PBE) of a relaxed LaCoTc crystal.

Computed properties:
Space-group type = I4mm (107)
E_form = 0.288 eV/atom
Raw total energy = -7.1784 eV per atom
Energy above the most stable polymorph in this dataset = 223.5 meV/atom
Calculated volume = 57.0 Å³/cell

Structure (POSCAR):
```
LaCoTc
1.0
5.927 0.274 0.012
3.981 4.400 -0.012
-4.959 -2.326 2.281
Co La Tc
1 1 1
direct
0.041 0.041 0.000 Co
0.334 0.334 0.000 La
0.625 0.625 0.000 Tc
```

---

Record 6
The following is a DFT calculation (GGA-PBE) of a relaxed BeSnPt3 crystal.

Computed properties:
Space-group type = Pm-3m (221)
E_form = -0.143 eV/atom
Raw total energy = -5.3131 eV per atom
Energy above the most stable polymorph in this dataset = 0.0 meV/atom
Calculated volume = 81.5 Å³/cell

Structure (POSCAR):
```
BeSnPt3
1.0
4.336 0.000 0.000
0.000 4.336 0.000
0.000 0.000 4.336
Pt Be Sn
3 1 1
direct
0.500 0.000 0.000 Pt
0.000 0.500 0.000 Pt
0.000 0.000 0.500 Pt
0.000 0.000 0.000 Be
0.500 0.500 0.500 Sn
```

---

> What is the raw total energy in the third record?

-4.1065 eV per atom

---

> What is the raw total energy in the fifth record?

-7.1784 eV per atom

---

Please write out number 2 again, unchanged.
The following is a DFT calculation (GGA-PBE) of a relaxed ErTm2Zn crystal.

Computed properties:
Space-group type = R-3m (166)
E_form = -0.065 eV/atom
Raw total energy = -3.7599 eV per atom
Energy above the most stable polymorph in this dataset = 98.9 meV/atom
Calculated volume = 108.3 Å³/cell

Structure (POSCAR):
```
ErTm2Zn
1.0
-1.058 3.148 1.117
-1.557 2.215 -2.224
-9.947 -2.130 2.082
Tm Zn Er
2 1 1
direct
0.260 0.260 0.219 Tm
0.740 0.740 0.781 Tm
0.000 0.000 0.000 Zn
0.500 0.500 0.500 Er
```